SmUCoO6 | PBE+U | optimized geometry

```
SmUCoO6
1.0
5.225 0.000 0.000
-2.613 4.525 0.000
0.000 0.000 10.276
Sm O Co U
2 12 2 2
Direct
0.000 0.000 0.500
0.000 0.000 0.000
0.347 0.368 0.358
0.653 0.632 0.642
0.347 0.979 0.142
0.368 0.021 0.642
0.021 0.653 0.358
0.979 0.347 0.642
0.653 0.021 0.858
0.368 0.347 0.858
0.021 0.368 0.142
0.632 0.653 0.142
0.632 0.979 0.358
0.979 0.632 0.858
0.667 0.333 0.750
0.333 0.667 0.250
0.667 0.333 0.250
0.333 0.667 0.750
```

Computed properties:
The value obtained for the spin magnetization is 0.00 μB per cell. The calculation puts the electronic total energy at -0.607 Ry per atom. As for the space-group type: P-31c, No. 163.